Entry 1:
Computed, not measured: crystalline ScBe5Fe7 at its relaxed geometry at the PBE level of DFT.

## Properties
ρ: 5.8 Mg/m³
N(E_F): 8.58 states/eV/f.u.
Energy: -6.6518 eV/atom
Magnetization: 25.643 Bohr magnetons per cell
Energy relative to the elements: -0.17 eV per atom

a = 4.4707 Å, b = 7.7833 Å, c = 7.9031 Å
α = 90.00°, β = 90.00°, γ = 90.00°
With the nearest neighbours (Å) after each atom.
Space group Imm2 (No. 44)
Inequivalent atoms, fractional coordinates:
Sc (0.0000, 0.0000, 0.0000)  10 Fe 2.76-2.84, 10 Be 2.87-3.02
Be (0.0000, 0.5000, 0.2728)  4 Be 2.22, 6 Fe 2.43-2.47
Be (0.2503, 0.2464, 0.7524)  3 Be 2.22-2.24, 7 Fe 2.28-2.41
Fe (0.0000, 0.0000, 0.3568)  3 Fe 2.25-2.48, 4 Be 2.41
Fe (0.0000, 0.0000, 0.6412)  3 Fe 2.25-2.51, 6 Be 2.39-2.47
Fe (0.0000, 0.2904, 0.5018)  5 Be 2.28-2.44, 5 Fe 2.38-2.53
Fe (0.0000, 0.3540, 0.0011)  4 Fe 2.27-2.50, 5 Be 2.41-2.43
Fe (0.0000, 0.5000, 0.7215)  4 Be 2.28, 6 Fe 2.38-2.48

Entry 2:
Computed, not measured: crystalline ScBeFe3 at its relaxed geometry at the PBE level of DFT.

## Properties
Offset from the most stable computed form: 0.0 meV per atom
ρ: 5.7 Mg/m³
N(E_F): 3.54 states/eV/f.u.
Energy: -6.8921 eV/atom
Magnetization: 4.990 Bohr magnetons per cell
Energy relative to the elements: 0.20 eV per atom

a = 4.0137 Å, b = 4.0137 Å, c = 4.0137 Å
α = 90.00°, β = 90.00°, γ = 90.00°
With the nearest neighbours (Å) after each atom.
Space group Pm-3m (No. 221)
Inequivalent atoms, fractional coordinates:
Sc (0.0000, 0.0000, 0.0000)  12 Fe 2.84
Be (0.5000, 0.5000, 0.5000)  6 Fe 2.01
Fe (0.0000, 0.5000, 0.5000)  2 Be 2.01

Entry 3:
Computed, not measured: crystalline Sc2BeFe at its relaxed geometry at the PBE level of DFT.

## Properties
ρ: 4.1 Mg/m³
N(E_F): 2.16 states/eV/f.u.
Energy: -6.2090 eV/atom
Magnetization: 0.000 Bohr magnetons per cell
Energy relative to the elements: 0.00 eV per atom

a = 3.1198 Å, b = 4.3706 Å, c = 9.1326 Å
α = 90.00°, β = 90.00°, γ = 90.00°
With the nearest neighbours (Å) after each atom.
Space group Imm2 (No. 44)
Inequivalent atoms, fractional coordinates:
Sc (0.0000, 0.0000, 0.0000)  4 Be 2.76, 2 Fe 2.84, 4 Sc 2.90-3.08
Sc (0.0000, 0.5000, 0.2088)  4 Fe 2.73, 2 Sc 2.90, 4 Be 2.98
Be (0.0000, 0.0000, 0.4302)  2 Fe 2.20
Fe (0.0000, 0.5000, 0.7601)  2 Be 2.20

Entry 4:
Computed, not measured: crystalline Sc2Be4FeSi3 at its relaxed geometry at the PBE level of DFT.

## Properties
ρ: 3.4 Mg/m³
N(E_F): 3.91 states/eV/f.u.
Energy: -5.6130 eV/atom
Magnetization: 1.944 Bohr magnetons per cell

a = 3.6195 Å, b = 3.6195 Å, c = 9.8113 Å
α = 90.00°, β = 90.00°, γ = 90.00°
With the nearest neighbours (Å) after each atom.
Space group P-4m2 (No. 115)
Inequivalent atoms, fractional coordinates:
Sc (0.0000, 0.5000, 0.2486)  8 Be 2.78-3.06, 6 Si 2.79-3.04, 2 Fe 3.04
Be (0.0000, 0.0000, 0.5000)  4 Si 2.27
Be (0.0000, 0.5000, 0.8610)  3 Si 2.17-2.27, 2 Fe 2.27
Be (0.5000, 0.5000, 0.5000)  4 Si 2.27
Fe (0.5000, 0.5000, 0.0000)  4 Be 2.27
Si (0.0000, 0.0000, 0.0000)  4 Be 2.27
Si (0.0000, 0.5000, 0.6395)  5 Be 2.17-2.27

Entry 5:
Computed, not measured: crystalline Sc2Be2Fe5Si at its relaxed geometry at the PBE level of DFT.

## Properties
ρ: 5.6 Mg/m³
N(E_F): 8.48 states/eV/f.u.
Energy: -7.0086 eV/atom
Magnetization: 14.149 Bohr magnetons per cell

a = 8.6462 Å, b = 8.6462 Å, c = 3.2674 Å
α = 90.00°, β = 90.00°, γ = 90.00°
With the nearest neighbours (Å) after each atom.
Space group P4/mbm (No. 127)
Inequivalent atoms, fractional coordinates:
Sc (0.1770, 0.3230, 0.0000)  3 Be 2.50-2.61, 6 Fe 2.71-2.78
Be (0.1188, 0.6188, 0.0000)  6 Fe 2.19-2.27
Fe (0.0000, 0.5000, 0.5000)  4 Be 2.19
Fe (0.0644, 0.7927, 0.5000)  2 Be 2.27, 2 Si 2.49
Si (0.0000, 0.0000, 0.0000)  8 Fe 2.49

Entry 6:
Computed, not measured: crystalline ScBeFe2Sn at its relaxed geometry at the PBE level of DFT.

## Properties
ρ: 5.1 Mg/m³
N(E_F): 3.26 states/eV/f.u.
Energy: -5.2530 eV/atom
Magnetization: 3.955 Bohr magnetons per cell
Energy relative to the elements: 0.94 eV per atom

a = 4.6552 Å, b = 4.6552 Å, c = 4.2980 Å
α = 90.00°, β = 90.00°, γ = 90.00°
With the nearest neighbours (Å) after each atom.
Space group P4/mmm (No. 123)
Inequivalent atoms, fractional coordinates:
Sc (0.0000, 0.0000, 0.0000)  8 Fe 3.17, 4 Be 3.29
Be (0.5000, 0.5000, 0.0000)  2 Sn 2.15
Fe (0.0000, 0.5000, 0.5000)  2 Sn 2.33
Sn (0.5000, 0.5000, 0.5000)  2 Be 2.15, 4 Fe 2.33

Question: energy of number 5 (Sc2Be2Fe5Si)?
Answer: -7.0086 eV/atom

Question: The lowest N(E_F) belongs to which entry?
Answer: Sc2BeFe